[1]
Density functional theory data (PBE) for a geometry-optimized TlNiOs2 structure.

Properties
Distance to the lowest polymorph of the same formula (eV/atom): 0.333
ρ (Mg/m³): 16.79
V (Å³/cell): 63.6
Calculated total energy (eV per atom): -6.849

```
4
Lattice="2.8266 0.0000 0.0000 0.0000 4.7298 0.0000 -0.0865 0.0000 4.7599" Properties=species:S:1:pos:R:3 pbc="T T T"
Tl 0.0000 0.0000 0.0000
Ni 1.3700 0.0000 2.3799
Os 0.6311 2.3649 1.3156
Os 2.1089 2.3649 3.4443
```

=====

[2]
Density functional theory data (PBE) for a geometry-optimized KVBrCl2 structure.

Properties
Distance to the lowest polymorph of the same formula (eV/atom): 0.025
ρ (Mg/m³): 3.03
V (Å³/cell): 131.8
Calculated total energy (eV per atom): -4.417

```
5
Lattice="4.9796 0.0000 0.0000 0.0000 4.9796 0.0000 0.0000 0.0000 5.3149" Properties=species:S:1:pos:R:3 pbc="T T T"
K 0.0000 0.0000 0.0000
V 2.4898 2.4898 2.6575
Br 2.4898 2.4898 0.0000
Cl 0.0000 2.4898 2.6575
Cl 2.4898 0.0000 2.6575
```

=====

[3]
Density functional theory data (PBE) for a geometry-optimized InH3Ir structure.

Properties
ρ (Mg/m³): 9.92
V (Å³/cell): 103.8
Calculated total energy (eV per atom): -4.300

```
10
Lattice="1.8548 -7.9988 0.0000 1.8548 7.9988 0.0000 0.0000 0.0000 3.4986" Properties=species:S:1:pos:R:3 pbc="T T T"
In 1.8548 6.5877 0.0000
In 1.8548 -6.5877 0.0000
H 1.8548 4.6763 1.7493
H 1.8548 3.1613 0.0000
H 1.8548 1.1404 1.7493
H 1.8548 -1.1404 1.7493
H 1.8548 -3.1613 0.0000
H 1.8548 -4.6763 1.7493
Ir 1.8548 2.7893 1.7493
Ir 1.8548 -2.7893 1.7493
```